A relaxed ReAs2Au crystal, computed with GGA-PBE.

ΔH_f (0 K) in eV per atom: 0.839
Polymorph energy (0 for the lowest one) in kJ/mol of formula units: 253
ρ in g/cm³: 12.838

Unit cell a=4.603 b=4.603 c=4.603 alpha=60.00 beta=60.00 gamma=60.00
Fractional coordinates of all 4 atoms:
1 Au 0.500 0.500 0.500
2 As 0.000 0.000 0.000
3 As 0.750 0.750 0.750
4 Re 0.250 0.250 0.250